No. 1
A relaxed structure of CuRePbAu, computed with PBE-GGA.

Geometry as extended XYZ:
```
4
Lattice="0.0000 3.3335 3.3335 3.3335 0.0000 3.3335 3.3335 3.3335 0.0000" Properties=species:S:1:pos:R:3 pbc="T T T"
Cu 0.0000 0.0000 0.0000
Re 1.6668 1.6668 1.6668
Pb 5.0003 5.0003 5.0003
Au 3.3335 3.3335 3.3335
```

* symmetry: F-43m
* E above lowest polymorph: 168 meV/atom
* magnetic moment: 2.9 μB/cell

No. 2
A relaxed structure of CuRePbAu, computed with PBE-GGA.

Geometry as extended XYZ:
```
4
Lattice="0.0000 3.2753 3.2753 3.2753 0.0000 3.2753 3.2753 3.2753 0.0000" Properties=species:S:1:pos:R:3 pbc="T T T"
Cu 0.0000 0.0000 0.0000
Re 3.2753 3.2753 3.2753
Pb 4.9129 4.9129 4.9129
Au 1.6376 1.6376 1.6376
```

* symmetry: F-43m
* E above lowest polymorph: 0 meV/atom
* magnetic moment: 0.4 μB/cell

No. 3
A relaxed structure of CuPbAuSe3, computed with PBE-GGA.

Geometry as extended XYZ:
```
12
Lattice="1.9951 -6.6404 0.0000 1.9951 6.6404 0.0000 0.0000 0.0000 10.0647" Properties=species:S:1:pos:R:3 pbc="T T T"
Cu 1.9951 6.1529 7.5485
Cu 1.9951 -6.1529 2.5162
Pb 1.9951 3.2578 2.5162
Pb 1.9951 -3.2578 7.5485
Au 1.9951 0.0000 0.0000
Au 1.9951 0.0000 5.0324
Se 1.9951 4.7876 5.5110
Se 1.9951 4.7876 9.5861
Se 1.9951 0.9621 7.5485
Se 1.9951 -0.9621 2.5162
Se 1.9951 -4.7876 0.4786
Se 1.9951 -4.7876 4.5537
```

* symmetry: Cmcm
* total energy: -3.6241 eV/atom

No. 4
A relaxed structure of CuTcPbAu, computed with PBE-GGA.

Geometry as extended XYZ:
```
4
Lattice="0.0000 3.2601 3.2601 3.2601 0.0000 3.2601 3.2601 3.2601 0.0000" Properties=species:S:1:pos:R:3 pbc="T T T"
Cu 0.0000 0.0000 0.0000
Tc 3.2601 3.2601 3.2601
Pb 4.8901 4.8901 4.8901
Au 1.6300 1.6300 1.6300
```

* symmetry: F-43m
* E above lowest polymorph: 0 meV/atom
* magnetic moment: 0.0 μB/cell

No. 5
A relaxed structure of CuTe3PbAu, computed with PBE-GGA.

Geometry as extended XYZ:
```
12
Lattice="2.1348 -6.3991 0.0000 2.1348 6.3991 0.0000 0.0000 0.0000 11.5734" Properties=species:S:1:pos:R:3 pbc="T T T"
Cu 2.1348 5.0946 8.6800
Cu 2.1348 -5.0946 2.8933
Te 2.1348 4.5240 6.0887
Te 2.1348 4.5240 11.2714
Te 2.1348 0.4059 8.6800
Te 2.1348 -0.4059 2.8933
Te 2.1348 -4.5240 0.3020
Te 2.1348 -4.5240 5.4847
Pb 2.1348 3.4615 2.8933
Pb 2.1348 -3.4615 8.6800
Au 2.1348 0.0000 0.0000
Au 2.1348 0.0000 5.7867
```

* symmetry: Cmcm
* total energy: -3.4286 eV/atom

No. 6
A relaxed structure of CuPbWAu, computed with PBE-GGA.

Geometry as extended XYZ:
```
4
Lattice="0.0000 3.3503 3.3503 3.3503 0.0000 3.3503 3.3503 3.3503 0.0000" Properties=species:S:1:pos:R:3 pbc="T T T"
Cu 0.0000 0.0000 0.0000
Pb 5.0254 5.0254 5.0254
W 1.6751 1.6751 1.6751
Au 3.3503 3.3503 3.3503
```

* symmetry: F-43m
* E above lowest polymorph: 136 meV/atom
* magnetic moment: 2.3 μB/cell

No. 7
A relaxed structure of CuPbWAu, computed with PBE-GGA.

Geometry as extended XYZ:
```
4
Lattice="0.0000 3.3162 3.3162 3.3162 0.0000 3.3162 3.3162 3.3162 0.0000" Properties=species:S:1:pos:R:3 pbc="T T T"
Cu 0.0000 0.0000 0.0000
Pb 4.9744 4.9744 4.9744
W 3.3162 3.3162 3.3162
Au 1.6581 1.6581 1.6581
```

* symmetry: F-43m
* E above lowest polymorph: 0 meV/atom
* magnetic moment: 1.7 μB/cell

No. 8
A relaxed structure of Y2CuPb2Au, computed with PBE-GGA.

Geometry as extended XYZ:
```
24
Lattice="8.2449 0.0000 0.0000 0.0000 4.7469 0.0000 -2.6938 0.0000 15.5236" Properties=species:S:1:pos:R:3 pbc="T T T"
Y 0.0000 0.0000 0.0000
Y -1.3462 2.3734 7.7895
Y 0.0279 0.0000 11.6210
Y 1.3951 2.3734 3.9909
Y 2.7950 0.0000 7.7713
Y 4.1650 2.3734 0.0014
Y 4.2000 2.3734 11.6447
Y 5.5333 0.0000 3.9923
Cu -1.3304 2.3734 10.6747
Cu 1.4047 2.3734 6.8530
Cu 4.1967 2.3734 14.5516
Cu 5.5388 0.0000 6.8591
Pb -1.3925 2.3734 13.5260
Pb 0.0332 0.0000 5.9642
Pb 1.3340 2.3734 9.6656
Pb 2.7701 0.0000 1.9751
Pb 4.1585 2.3734 5.9624
Pb 2.8961 0.0000 13.6406
Pb 6.8962 2.3734 1.8822
Pb 5.6215 0.0000 9.6927
Au 0.0174 0.0000 2.9649
Au 0.0683 0.0000 14.5445
Au 2.8027 0.0000 10.6831
Au 4.1568 2.3734 2.9702
```

* symmetry: Pm
* total energy: -5.1027 eV/atom
* magnetic moment: 0.0 μB/cell

No. 9
A relaxed structure of ZnCuPbAu, computed with PBE-GGA.

Geometry as extended XYZ:
```
4
Lattice="0.0000 3.3375 3.3375 3.3375 0.0000 3.3375 3.3375 3.3375 0.0000" Properties=species:S:1:pos:R:3 pbc="T T T"
Zn 0.0000 0.0000 0.0000
Cu 3.3375 3.3375 3.3375
Pb 1.6687 1.6687 1.6687
Au 5.0062 5.0062 5.0062
```

* symmetry: F-43m
* E above lowest polymorph: 0 meV/atom

No. 10
A relaxed structure of Cu2PdAu, computed with PBE-GGA.

Geometry as extended XYZ:
```
4
Lattice="-2.0251 2.0251 3.4701 2.0251 -2.0251 3.4701 2.0251 2.0251 -3.4701" Properties=species:S:1:pos:R:3 pbc="T T T"
Cu 2.0251 0.0000 1.7351
Cu 0.0000 2.0251 1.7351
Pd 0.0000 0.0000 0.0000
Au 0.0000 0.0000 3.4701
```

* symmetry: I4/mmm
* ΔH_f (0 K): -0.136 eV per atom
* E above lowest polymorph: 0 meV/atom

No. 11
A relaxed structure of Cu2PdAu, computed with PBE-GGA.

Geometry as extended XYZ:
```
4
Lattice="0.0000 3.0817 3.0817 3.0817 0.0000 3.0817 3.0817 3.0817 0.0000" Properties=species:S:1:pos:R:3 pbc="T T T"
Cu 0.0000 0.0000 0.0000
Cu 1.5409 1.5409 1.5409
Pd 3.0817 3.0817 3.0817
Au 4.6226 4.6226 4.6226
```

* symmetry: F-43m
* ΔH_f (0 K): -0.036 eV per atom
* E above lowest polymorph: 100 meV/atom

No. 12
A relaxed structure of Cu2PdAu, computed with PBE-GGA.

Geometry as extended XYZ:
```
4
Lattice="2.8793 0.0000 0.0000 0.0000 2.8793 0.0000 0.0000 0.0000 6.8850" Properties=species:S:1:pos:R:3 pbc="T T T"
Cu 0.0000 0.0000 1.6552
Cu 0.0000 0.0000 5.2299
Pd 1.4397 1.4397 0.0000
Au 1.4397 1.4397 3.4425
```

* symmetry: P4/mmm
* ΔH_f (0 K): -0.106 eV per atom
* E above lowest polymorph: 30 meV/atom